# MgZnBiO4 PBE relaxed
data_MgZnBiO4
_chemical_formula_sum 'Mg4 Zn4 Bi4 O16'
_cell_length_a 6.287
_cell_length_b 6.585
_cell_length_c 8.922
_cell_angle_alpha 90.00
_cell_angle_beta 90.00
_cell_angle_gamma 90.00
_space_group_name_H-M_alt 'I m m a'
_space_group_IT_number 74
_space_group_name_Hall '-I 2b 2'
loop_
_atom_site_label
_atom_site_type_symbol
_atom_site_fract_x
_atom_site_fract_y
_atom_site_fract_z
Mg1 Mg 0.250 0.250 0.250
Zn1 Zn 0.000 0.250 0.636
Bi1 Bi 0.000 0.000 0.000
O1 O 0.000 0.022 0.249
O2 O 0.249 0.250 0.011
# **Final energy**: -5.332 eV/atom



# Mg6ZnBiO8 PBE relaxed
data_Mg6ZnBiO8
_chemical_formula_sum 'Mg6 Zn1 Bi1 O8'
_cell_length_a 4.520
_cell_length_b 4.520
_cell_length_c 8.961
_cell_angle_alpha 90.00
_cell_angle_beta 90.00
_cell_angle_gamma 90.00
_space_group_name_H-M_alt 'P 4/m m m'
_space_group_IT_number 123
_space_group_name_Hall '-P 4 2'
loop_
_atom_site_label
_atom_site_type_symbol
_atom_site_fract_x
_atom_site_fract_y
_atom_site_fract_z
Mg1 Mg 0.000 0.000 0.000
Mg2 Mg 0.000 0.000 0.500
Mg3 Mg 0.000 0.500 0.231
Zn1 Zn 0.500 0.500 0.000
Bi1 Bi 0.500 0.500 0.500
O1 O 0.000 0.000 0.250
O2 O 0.000 0.500 0.000
O3 O 0.000 0.500 0.500
O4 O 0.500 0.500 0.231
# **Final energy**: -5.422 eV/atom
# **Energy relative to the lowest polymorph listed for this composition**: 1.9 kJ per mole of atoms



# MgZrBi2O6 PBE relaxed
data_MgZrBi2O6
_chemical_formula_sum 'Mg3 Zr3 Bi6 O18'
_cell_length_a 5.7767
_cell_length_b 5.7767
_cell_length_c 14.6143
_cell_angle_alpha 90.00
_cell_angle_beta 90.00
_cell_angle_gamma 120.00
_space_group_name_H-M_alt 'R 3'
_space_group_IT_number 146
_space_group_name_Hall 'R 3'
loop_
_atom_site_label
_atom_site_type_symbol
_atom_site_fract_x
_atom_site_fract_y
_atom_site_fract_z
Mg1 Mg 0.0000 0.0000 0.0000
Zr1 Zr 0.0000 0.0000 0.5019
Bi1 Bi 0.0000 0.0000 0.2865
Bi2 Bi 0.0000 0.0000 0.7826
O1 O 0.0874 0.3598 0.0644
O2 O 0.0931 0.7383 0.5651
# **Final energy**: -6.892 eV/atom



# Mg2ZrBiO6 PBE relaxed
data_Mg2ZrBiO6
_chemical_formula_sum 'Mg6 Zr3 Bi3 O18'
_cell_length_a 5.4515
_cell_length_b 5.4515
_cell_length_c 14.5551
_cell_angle_alpha 90.00
_cell_angle_beta 90.00
_cell_angle_gamma 120.00
_space_group_name_H-M_alt 'R 3'
_space_group_IT_number 146
_space_group_name_Hall 'R 3'
loop_
_atom_site_label
_atom_site_type_symbol
_atom_site_fract_x
_atom_site_fract_y
_atom_site_fract_z
Mg1 Mg 0.0000 0.0000 0.0000
Mg2 Mg 0.0000 0.0000 0.4979
Zr1 Zr 0.0000 0.0000 0.7102
Bi1 Bi 0.0000 0.0000 0.2127
O1 O 0.0042 0.6949 0.1001
O2 O 0.0300 0.3022 0.6032
# **Final energy**: -6.869 eV/atom



# MgBi2Os PBE relaxed
data_MgBi2Os
_chemical_formula_sum 'Mg4 Bi8 Os4'
_cell_length_a 6.470
_cell_length_b 6.470
_cell_length_c 12.810
_cell_angle_alpha 90.00
_cell_angle_beta 90.00
_cell_angle_gamma 90.00
_space_group_name_H-M_alt 'I -4 2 d'
_space_group_IT_number 122
_space_group_name_Hall 'I -4 2bw'
loop_
_atom_site_label
_atom_site_type_symbol
_atom_site_fract_x
_atom_site_fract_y
_atom_site_fract_z
Mg1 Mg 0.000 0.000 0.000
Bi1 Bi 0.207 0.250 0.625
Os1 Os 0.000 0.000 0.500
# **Final energy**: -4.403 eV/atom
# **DFT formation energy**: 0.7436 eV/atom



# MgBi2OsPb PBE relaxed
data_MgBi2OsPb
_chemical_formula_sum 'Mg1 Bi2 Os1 Pb1'
_cell_length_a 5.847
_cell_length_b 5.847
_cell_length_c 5.069
_cell_angle_alpha 90.00
_cell_angle_beta 90.00
_cell_angle_gamma 90.00
_space_group_name_H-M_alt 'P 4/m m m'
_space_group_IT_number 123
_space_group_name_Hall '-P 4 2'
loop_
_atom_site_label
_atom_site_type_symbol
_atom_site_fract_x
_atom_site_fract_y
_atom_site_fract_z
Mg1 Mg 0.000 0.000 0.000
Bi1 Bi 0.000 0.500 0.500
Os1 Os 0.500 0.500 0.000
Pb1 Pb 0.500 0.500 0.500
# **Final energy**: -3.370 eV/atom
# **DFT formation energy**: 1.4885 eV/atom



# Rb2MgBiOs PBE relaxed
data_Rb2MgBiOs
_chemical_formula_sum 'Rb2 Mg1 Bi1 Os1'
_cell_length_a 7.054
_cell_length_b 7.054
_cell_length_c 5.257
_cell_angle_alpha 90.00
_cell_angle_beta 90.00
_cell_angle_gamma 90.00
_space_group_name_H-M_alt 'P 4/m m m'
_space_group_IT_number 123
_space_group_name_Hall '-P 4 2'
loop_
_atom_site_label
_atom_site_type_symbol
_atom_site_fract_x
_atom_site_fract_y
_atom_site_fract_z
Rb1 Rb 0.000 0.500 0.000
Mg1 Mg 0.000 0.000 0.000
Bi1 Bi 0.000 0.000 0.500
Os1 Os 0.500 0.500 0.500
# **Final energy**: -2.375 eV/atom
# **DFT formation energy**: 1.3535 eV/atom



# MgBi2OsRu PBE relaxed
data_MgBi2OsRu
_chemical_formula_sum 'Mg1 Bi2 Os1 Ru1'
_cell_length_a 5.198
_cell_length_b 5.198
_cell_length_c 4.903
_cell_angle_alpha 90.00
_cell_angle_beta 90.00
_cell_angle_gamma 90.00
_space_group_name_H-M_alt 'P 4/m m m'
_space_group_IT_number 123
_space_group_name_Hall '-P 4 2'
loop_
_atom_site_label
_atom_site_type_symbol
_atom_site_fract_x
_atom_site_fract_y
_atom_site_fract_z
Mg1 Mg 0.000 0.000 0.000
Bi1 Bi 0.000 0.500 0.500
Os1 Os 0.000 0.000 0.500
Ru1 Ru 0.500 0.500 0.000
# **Final energy**: -4.809 eV/atom
# **DFT formation energy**: 1.1638 eV/atom